ZrMn2Be, optimized geometry, DFT PBE; SG = P4/mmm, No. 123; crystal system = tetragonal; size of the total moment = 3.73 μB/cell; E_tot = -7.58 eV per atom
1.0
-0.1236 -3.2607 1.3717
3.3301 0.6959 1.9541
-2.0698 1.3587 3.0433
Be Mn Zr
1 2 1
Cartesian
-1.0967 -0.9510 2.2075
0.0000 0.0000 0.0000
0.6301 1.0273 2.4987
1.6032 -1.2824 1.6629